10
Lattice="3.816 0.000 0.000 0.000 3.816 0.000 0.000 0.000 19.599" Properties=species:S:1:pos:R:3 comment="PBE Pr5Cd4Ga, relaxed" e_form_ev_per_atom=-0.36 total_energy_ev_per_atom=-3.42 pbc="T T T"
Cd 0.000 0.000 7.811
Cd 0.000 0.000 11.787
Cd 0.000 0.000 3.823
Pr 1.908 1.908 13.800
Ga 0.000 0.000 0.000
Pr 1.908 1.908 17.825
Pr 1.908 1.908 5.799
Pr 1.908 1.908 9.799
Pr 1.908 1.908 1.773
Cd 0.000 0.000 15.775

4
Lattice="1.810 7.703 6.495 2.167 5.447 8.393 4.440 6.339 6.701" Properties=species:S:1:pos:R:3 comment="PBE Sc2MnW, relaxed" e_form_ev_per_atom=0.56 relative_energy_ev_per_fu=2.07 total_energy_ev_per_atom=-8.13 pbc="T T T"
Sc 0.748 1.733 1.920
W 4.208 9.745 10.795
Sc 7.668 17.756 19.670
Mn 0.000 0.000 0.000

12
Lattice="-4.062 -6.162 9.391 1.621 -3.901 -1.859 4.766 0.760 2.560" Properties=species:S:1:pos:R:3 comment="PBE AgSb, relaxed" relative_energy_ev_per_fu=0.12 total_energy_ev_per_atom=-3.35 formation_energy_uncorrected_ev_per_atom=0.138 pbc="T T T"
Sb 0.382 -2.027 2.251
Ag -0.478 -6.480 5.131
Sb 0.037 -3.660 5.210
Sb 3.520 -4.267 2.903
Ag 0.588 -4.862 2.666
Ag 3.279 -1.438 2.469
Sb 1.694 -7.038 7.126
Ag 0.284 -5.982 9.394
Sb 5.364 -2.395 0.749
Ag 1.999 -2.505 6.817
Sb -1.853 -5.418 7.419
Ag 3.216 -3.580 -0.958

6
Lattice="3.492 -0.089 0.441 0.043 5.920 0.733 0.987 2.332 6.373" Properties=species:S:1:pos:R:3 comment="PBE NaTlH, relaxed" relative_energy_ev_per_fu=0.00 total_energy_ev_per_atom=-2.37 pbc="T T T"
H 1.492 4.973 2.993
Tl 1.561 0.992 1.840
Na 3.317 3.832 2.380
Tl 2.961 7.171 5.708
H 3.030 3.190 4.554
Na 1.205 4.331 5.167

4
Lattice="3.833 0.000 0.000 0.000 3.988 0.000 -1.916 -1.994 5.125" Properties=species:S:1:pos:R:3 comment="PBE PaSiIrOs, relaxed" total_energy_ev_per_atom=-9.05 formation_energy_uncorrected_ev_per_atom=-0.298 pbc="T T T"
Ir 0.000 0.000 3.430
Pa 1.916 1.994 4.867
Si 0.000 1.994 2.250
Os 1.916 1.994 0.885

8
Lattice="-0.879 6.835 0.432 -0.884 0.318 -6.841 -5.053 3.008 -2.692" Properties=species:S:1:pos:R:3 comment="PBE Sr2SO, relaxed" relative_energy_ev_per_fu=0.29 total_energy_ev_per_atom=-5.38 formation_energy_uncorrected_ev_per_atom=-2.267 pbc="T T T"
Sr -4.502 4.957 -4.816
Sr -1.976 2.199 -4.870
S -3.407 6.710 -2.732
O -3.409 3.452 -6.369
Sr -1.873 4.670 -1.283
S 0.000 0.000 0.000
O -0.882 3.577 -3.205
Sr -5.282 8.497 -7.233

Copy entry 6 word for word.
8
Lattice="-0.879 6.835 0.432 -0.884 0.318 -6.841 -5.053 3.008 -2.692" Properties=species:S:1:pos:R:3 comment="PBE Sr2SO, relaxed" relative_energy_ev_per_fu=0.29 total_energy_ev_per_atom=-5.38 formation_energy_uncorrected_ev_per_atom=-2.267 pbc="T T T"
Sr -4.502 4.957 -4.816
Sr -1.976 2.199 -4.870
S -3.407 6.710 -2.732
O -3.409 3.452 -6.369
Sr -1.873 4.670 -1.283
S 0.000 0.000 0.000
O -0.882 3.577 -3.205
Sr -5.282 8.497 -7.233